1.
VASP calculation (PBE) on crystalline SbMoH at its relaxed geometry.

Summary:
As for the density of states at the Fermi level: 0.553 states/eV/atom. The value obtained for the raw total energy is -72.1 eV/cell. As for the relative energy among the computed polymorphs: 0 meV/atom. The calculation puts the total magnetic moment at 0.00 μB per atom.

a = 7.301 Å, b = 7.301 Å, c = 3.412 Å
α = 90.00°, β = 90.00°, γ = 90.00°
Space group P4_2/m (No. 84)
Unique sites:
Sb 0.073 0.698 0.000 (multiplicity 4)
Mo 0.304 0.375 0.000 (multiplicity 4)
H 0.242 0.464 0.500 (multiplicity 4)


2.
VASP calculation (PBE) on crystalline SbMo2H at its relaxed geometry.

Summary:
As for the density of states at the Fermi level: 0.611 states/eV/atom. The value obtained for the raw total energy is -109.2 eV/cell. As for the relative energy among the computed polymorphs: 0 meV/atom. The calculation puts the total magnetic moment at 0.00 μB per atom.

a = 4.921 Å, b = 4.921 Å, c = 10.550 Å
α = 90.00°, β = 90.00°, γ = 90.00°
Space group I-42d (No. 122)
Unique sites:
Sb 0.000 0.000 0.000 (multiplicity 4)
Mo 0.042 0.250 0.625 (multiplicity 8)
H 0.000 0.000 0.500 (multiplicity 4)


3.
VASP calculation (PBE) on crystalline SbMoH at its relaxed geometry.

Summary:
As for the density of states at the Fermi level: 0.285 states/eV/atom. The value obtained for the raw total energy is -213.2 eV/cell. As for the relative energy among the computed polymorphs: 88 meV/atom. The calculation puts the total magnetic moment at 0.00 μB per atom.

a = 11.680 Å, b = 6.930 Å, c = 6.680 Å
α = 90.00°, β = 91.63°, γ = 90.00°
Space group C2/c (No. 15)
Unique sites:
Sb 0.000 0.025 0.250 (multiplicity 4)
Sb 0.239 0.412 0.859 (multiplicity 8)
Mo 0.000 0.466 0.250 (multiplicity 4)
Mo 0.133 0.250 0.519 (multiplicity 8)
H 0.000 0.283 0.750 (multiplicity 4)
H 0.015 0.353 0.003 (multiplicity 8)


4.
VASP calculation (PBE) on crystalline SbMo2H2 at its relaxed geometry.

Summary:
As for the density of states at the Fermi level: 0.628 states/eV/atom. The value obtained for the raw total energy is -63.9 eV/cell. The calculation puts the total magnetic moment at 0.00 μB per atom.

a = 3.254 Å, b = 3.254 Å, c = 10.965 Å
α = 90.00°, β = 90.00°, γ = 90.00°
Space group I4/mmm (No. 139)
Unique sites:
Sb 0.000 0.000 0.000 (multiplicity 2)
Mo 0.000 0.000 0.342 (multiplicity 4)
H 0.000 0.500 0.250 (multiplicity 4)


5.
VASP calculation (PBE) on crystalline ScSbMoH2 at its relaxed geometry.

Summary:
As for the density of states at the Fermi level: 0.705 states/eV/atom. The value obtained for the raw total energy is -24.4 eV/cell. The calculation puts the total magnetic moment at 0.00 μB per atom.

a = 3.867 Å, b = 3.867 Å, c = 5.548 Å
α = 90.00°, β = 90.00°, γ = 90.00°
Space group P4/mmm (No. 123)
Unique sites:
Sc 0.000 0.000 0.000 (multiplicity 1)
Sb 0.500 0.500 0.500 (multiplicity 1)
Mo 0.500 0.500 0.000 (multiplicity 1)
H 0.000 0.500 0.500 (multiplicity 2)


6.
VASP calculation (PBE) on crystalline Ta2SbMoH at its relaxed geometry.

Summary:
As for the density of states at the Fermi level: 0.938 states/eV/atom. The value obtained for the raw total energy is -41.5 eV/cell. The calculation puts the total magnetic moment at 0.00 μB per atom.

a = 4.178 Å, b = 4.178 Å, c = 4.250 Å
α = 90.00°, β = 90.00°, γ = 90.00°
Space group P4/mmm (No. 123)
Unique sites:
Ta 0.000 0.500 0.000 (multiplicity 2)
Sb 0.000 0.000 0.500 (multiplicity 1)
Mo 0.500 0.500 0.500 (multiplicity 1)
H 0.500 0.500 0.000 (multiplicity 1)


7.
VASP calculation (PBE) on crystalline Sb2TeMoH at its relaxed geometry.

Summary:
As for the density of states at the Fermi level: 0.584 states/eV/atom. The value obtained for the raw total energy is -21.4 eV/cell. As for the relative energy among the computed polymorphs: 15 meV/atom. The calculation puts the total magnetic moment at 0.00 μB per atom.

a = 5.242 Å, b = 5.242 Å, c = 5.200 Å
α = 90.00°, β = 90.00°, γ = 90.00°
Space group P4/mmm (No. 123)
Unique sites:
Sb 0.000 0.500 0.000 (multiplicity 2)
Te 0.000 0.000 0.500 (multiplicity 1)
Mo 0.000 0.000 0.000 (multiplicity 1)
H 0.500 0.500 0.500 (multiplicity 1)


8.
VASP calculation (PBE) on crystalline Sb2TeMoH at its relaxed geometry.

Summary:
As for the density of states at the Fermi level: 0.590 states/eV/atom. The value obtained for the raw total energy is -21.5 eV/cell. As for the relative energy among the computed polymorphs: 0 meV/atom. The calculation puts the total magnetic moment at 0.55 μB per atom.

a = 4.354 Å, b = 4.354 Å, c = 5.469 Å
α = 90.00°, β = 90.00°, γ = 90.00°
Space group P4/mmm (No. 123)
Unique sites:
Sb 0.000 0.500 0.000 (multiplicity 2)
Te 0.000 0.000 0.500 (multiplicity 1)
Mo 0.500 0.500 0.500 (multiplicity 1)
H 0.000 0.000 0.000 (multiplicity 1)


Q: Which formula does entry 2 have?
A: SbMo2H


Copy entry 5 word for word.
VASP calculation (PBE) on crystalline ScSbMoH2 at its relaxed geometry.

Summary:
As for the density of states at the Fermi level: 0.705 states/eV/atom. The value obtained for the raw total energy is -24.4 eV/cell. The calculation puts the total magnetic moment at 0.00 μB per atom.

a = 3.867 Å, b = 3.867 Å, c = 5.548 Å
α = 90.00°, β = 90.00°, γ = 90.00°
Space group P4/mmm (No. 123)
Unique sites:
Sc 0.000 0.000 0.000 (multiplicity 1)
Sb 0.500 0.500 0.500 (multiplicity 1)
Mo 0.500 0.500 0.000 (multiplicity 1)
H 0.000 0.500 0.500 (multiplicity 2)


Q: Among the records above, which one has the highest total magnetic moment?
A: number 8


Q: total magnetic moment of number 7 (Sb2TeMoH)?
A: 0.00 μB per atom